Record 1
# GaSn5Au4 (GGA-PBE, optimized geometry)
# **DOS at the Fermi energy**: 3.5 states/eV per cell
# **Calculated formation energy**: -0.122 eV per atom
# **Volume**: 25.622 Å³/atom
# **E above lowest polymorph**: 0 meV per atom
data_GaSn5Au4
_space_group_name_H-M_alt 'P 1'
_space_group_IT_number 1
_cell_length_a 4.361
_cell_length_b 7.352
_cell_length_c 9.061
_cell_angle_alpha 113.91
_cell_angle_beta 103.92
_cell_angle_gamma 90.00
loop_
_space_group_symop_operation_xyz
'x,y,z'
loop_
_atom_site_label
_atom_site_fract_x
_atom_site_fract_y
_atom_site_fract_z
_atom_site_occupancy
Ga1 0.500 0.000 0.000 1
Sn1 0.830 0.101 0.660 1
Sn2 0.170 0.441 0.340 1
Sn3 0.500 0.500 0.000 1
Sn4 0.830 0.559 0.660 1
Sn5 0.170 0.899 0.340 1
Au1 0.296 0.296 0.593 1
Au2 0.000 0.213 0.000 1
Au3 0.704 0.704 0.407 1
Au4 0.000 0.787 0.000 1



Record 2
# SnPtNF2 (GGA-PBE, optimized geometry)
# **Energy relative to the elements, uncorrected**: -0.3207 eV/atom
# **DOS at the Fermi energy**: 2.8 states/eV per cell
# **Volume**: 16.803 Å³/atom
# **E above lowest polymorph**: 0 meV per atom
data_SnPtNF2
_space_group_name_H-M_alt 'P 1'
_space_group_IT_number 1
_cell_length_a 4.790
_cell_length_b 4.790
_cell_length_c 3.662
_cell_angle_alpha 90.00
_cell_angle_beta 90.00
_cell_angle_gamma 90.00
loop_
_space_group_symop_operation_xyz
'x,y,z'
loop_
_atom_site_label
_atom_site_fract_x
_atom_site_fract_y
_atom_site_fract_z
_atom_site_occupancy
F1 0.500 0.000 0.000 1
F2 0.000 0.500 0.000 1
Pt1 0.000 0.000 0.000 1
N1 0.000 0.000 0.500 1
Sn1 0.500 0.500 0.500 1



Record 3
# Dy3Tm2N4 (GGA-PBE, optimized geometry)
# **Energy relative to the elements, uncorrected**: -1.5377 eV/atom
# **DOS at the Fermi energy**: 4.4 states/eV per cell
# **Volume**: 16.446 Å³/atom
data_Dy3Tm2N4
_space_group_name_H-M_alt 'P 1'
_space_group_IT_number 1
_cell_length_a 3.455
_cell_length_b 3.455
_cell_length_c 14.316
_cell_angle_alpha 90.06
_cell_angle_beta 89.94
_cell_angle_gamma 120.00
loop_
_space_group_symop_operation_xyz
'x,y,z'
loop_
_atom_site_label
_atom_site_fract_x
_atom_site_fract_y
_atom_site_fract_z
_atom_site_occupancy
Dy1 0.334 0.666 0.616 1
Dy2 0.666 0.334 0.384 1
Dy3 0.000 0.000 0.000 1
N1 0.001 0.999 0.703 1
N2 0.334 0.666 0.898 1
N3 0.666 0.334 0.102 1
N4 0.999 0.001 0.297 1
Tm1 0.667 0.333 0.809 1
Tm2 0.333 0.667 0.191 1



Record 4
# Pu2Ga5Cu3 (GGA-PBE, optimized geometry)
# **DOS at the Fermi energy**: 50.2 states/eV per cell
# **Calculated formation energy**: -0.278 eV per atom
# **Volume**: 17.880 Å³/atom
data_Pu2Ga5Cu3
_space_group_name_H-M_alt 'P 1'
_space_group_IT_number 1
_cell_length_a 5.837
_cell_length_b 8.409
_cell_length_c 8.409
_cell_angle_alpha 74.21
_cell_angle_beta 69.69
_cell_angle_gamma 69.69
loop_
_space_group_symop_operation_xyz
'x,y,z'
loop_
_atom_site_label
_atom_site_fract_x
_atom_site_fract_y
_atom_site_fract_z
_atom_site_occupancy
Pu1 0.637 0.132 0.593 1
Pu2 0.863 0.407 0.868 1
Pu3 0.137 0.593 0.132 1
Pu4 0.363 0.868 0.407 1
Cu1 0.638 0.470 0.254 1
Cu2 0.750 0.000 0.000 1
Cu3 0.362 0.530 0.746 1
Cu4 0.138 0.254 0.470 1
Cu5 0.250 0.000 0.000 1
Cu6 0.862 0.746 0.530 1
Ga1 0.900 0.940 0.260 1
Ga2 0.100 0.060 0.740 1
Ga3 0.750 0.500 0.500 1
Ga4 0.600 0.740 0.060 1
Ga5 0.972 0.778 0.778 1
Ga6 0.400 0.260 0.940 1
Ga7 0.250 0.500 0.500 1
Ga8 0.528 0.222 0.222 1
Ga9 0.472 0.778 0.778 1
Ga10 0.028 0.222 0.222 1



Record 5
# Tl3Bi4O8 (GGA-PBE, optimized geometry)
# **Energy relative to the elements, uncorrected**: -0.7403 eV/atom
# **DOS at the Fermi energy**: 5.0 states/eV per cell
# **Volume**: 18.265 Å³/atom
data_Tl3Bi4O8
_space_group_name_H-M_alt 'P 1'
_space_group_IT_number 1
_cell_length_a 7.233
_cell_length_b 7.219
_cell_length_c 7.219
_cell_angle_alpha 89.97
_cell_angle_beta 119.07
_cell_angle_gamma 119.07
loop_
_space_group_symop_operation_xyz
'x,y,z'
loop_
_atom_site_label
_atom_site_fract_x
_atom_site_fract_y
_atom_site_fract_z
_atom_site_occupancy
Bi1 0.000 0.000 0.000 1
Bi2 0.000 0.500 0.000 1
Bi3 0.500 0.000 0.000 1
Bi4 0.000 0.000 0.500 1
Tl1 0.500 0.500 0.500 1
Tl2 0.500 0.000 0.500 1
Tl3 0.500 0.500 0.000 1
O1 0.543 0.789 0.789 1
O2 0.457 0.211 0.211 1
O3 0.000 0.763 0.237 1
O4 0.964 0.222 0.222 1
O5 0.036 0.778 0.778 1
O6 0.000 0.237 0.763 1
O7 0.500 0.765 0.235 1
O8 0.500 0.235 0.765 1



Record 6
# Tl3In3SnI8 (GGA-PBE, optimized geometry)
# **Energy relative to the elements, uncorrected**: -0.5492 eV/atom
# **DOS at the Fermi energy**: 0.0 states/eV per cell
# **Volume**: 46.258 Å³/atom
data_Tl3In3SnI8
_space_group_name_H-M_alt 'P 1'
_space_group_IT_number 1
_cell_length_a 9.918
_cell_length_b 9.922
_cell_length_c 9.956
_cell_angle_alpha 119.91
_cell_angle_beta 90.00
_cell_angle_gamma 119.99
loop_
_space_group_symop_operation_xyz
'x,y,z'
loop_
_atom_site_label
_atom_site_fract_x
_atom_site_fract_y
_atom_site_fract_z
_atom_site_occupancy
I1 0.231 0.998 0.729 1
I2 0.767 0.998 0.729 1
I3 0.769 0.538 0.271 1
I4 0.251 0.502 0.253 1
I5 0.231 0.462 0.729 1
I6 0.769 0.002 0.271 1
I7 0.749 0.498 0.747 1
I8 0.233 0.002 0.271 1
Tl1 0.000 0.000 0.000 1
Tl2 0.500 0.500 0.000 1
Tl3 0.000 0.500 0.000 1
Sn1 0.000 0.000 0.500 1
In1 0.500 0.500 0.500 1
In2 0.000 0.500 0.500 1
In3 0.500 0.000 0.500 1



Record 7
# LaPrInPd (GGA-PBE, optimized geometry)
# **DOS at the Fermi energy**: 4.1 states/eV per cell
# **Calculated formation energy**: -0.516 eV per atom
# **Volume**: 27.832 Å³/atom
data_LaPrInPd
_space_group_name_H-M_alt 'P 1'
_space_group_IT_number 1
_cell_length_a 5.400
_cell_length_b 5.400
_cell_length_c 5.400
_cell_angle_alpha 60.00
_cell_angle_beta 60.00
_cell_angle_gamma 60.00
loop_
_space_group_symop_operation_xyz
'x,y,z'
loop_
_atom_site_label
_atom_site_fract_x
_atom_site_fract_y
_atom_site_fract_z
_atom_site_occupancy
In1 0.500 0.500 0.500 1
Pd1 0.000 0.000 0.000 1
Pr1 0.250 0.250 0.250 1
La1 0.750 0.750 0.750 1



Record 8
# DyTm2TcN4 (GGA-PBE, optimized geometry)
# **Energy relative to the elements, uncorrected**: -1.1476 eV/atom
# **DOS at the Fermi energy**: 3.2 states/eV per cell
# **Volume**: 13.828 Å³/atom
data_DyTm2TcN4
_space_group_name_H-M_alt 'P 1'
_space_group_IT_number 1
_cell_length_a 3.377
_cell_length_b 5.973
_cell_length_c 11.434
_cell_angle_alpha 90.00
_cell_angle_beta 90.00
_cell_angle_gamma 106.42
loop_
_space_group_symop_operation_xyz
'x,y,z'
loop_
_atom_site_label
_atom_site_fract_x
_atom_site_fract_y
_atom_site_fract_z
_atom_site_occupancy
Tm1 0.631 0.263 0.039 1
Tm2 0.369 0.737 0.961 1
Tm3 0.631 0.263 0.461 1
Tm4 0.369 0.737 0.539 1
Tc1 0.132 0.263 0.250 1
Tc2 0.868 0.737 0.750 1
N1 0.737 0.474 0.628 1
N2 0.737 0.474 0.872 1
N3 0.263 0.526 0.128 1
N4 0.546 0.092 0.250 1
N5 0.263 0.526 0.372 1
N6 0.454 0.908 0.750 1
N7 0.000 0.000 0.500 1
N8 0.000 0.000 0.000 1
Dy1 0.133 0.266 0.750 1
Dy2 0.867 0.734 0.250 1



Question: Among the records above, which one has the lowest volume?
Answer: DyTm2TcN4



Question: Among the records above, which one has the lowest DOS at the Fermi energy?
Answer: Tl3In3SnI8



Please write out number 7 again, unchanged.
# LaPrInPd (GGA-PBE, optimized geometry)
# **DOS at the Fermi energy**: 4.1 states/eV per cell
# **Calculated formation energy**: -0.516 eV per atom
# **Volume**: 27.832 Å³/atom
data_LaPrInPd
_space_group_name_H-M_alt 'P 1'
_space_group_IT_number 1
_cell_length_a 5.400
_cell_length_b 5.400
_cell_length_c 5.400
_cell_angle_alpha 60.00
_cell_angle_beta 60.00
_cell_angle_gamma 60.00
loop_
_space_group_symop_operation_xyz
'x,y,z'
loop_
_atom_site_label
_atom_site_fract_x
_atom_site_fract_y
_atom_site_fract_z
_atom_site_occupancy
In1 0.500 0.500 0.500 1
Pd1 0.000 0.000 0.000 1
Pr1 0.250 0.250 0.250 1
La1 0.750 0.750 0.750 1